This record from the Open Quantum Materials Database describes a geometry-optimized LaNd2AuO6 structure. The functional is PBE-GGA.

Structure (extended XYZ):
```
10
Lattice="3.843 0.000 0.000 -0.093 5.712 0.000 -1.689 -0.195 6.834" Properties=species:S:1:pos:R:3 pbc="T T T"
O 1.074 1.361 3.503
O -0.914 1.479 5.960
Au 0.000 0.000 0.000
O 2.975 4.038 0.874
Nd 1.048 2.677 1.572
La -0.844 -0.098 3.417
O 2.963 1.234 1.331
O -0.902 4.283 5.503
O 0.987 4.155 3.331
Nd 1.013 2.839 5.262
```

## Properties
DFT total energy = -0.5424 Ry/atom
Density = 7.97 Mg/m³

This record from the Open Quantum Materials Database describes a geometry-optimized Pm2AsCl2 structure. The functional is PBE-GGA.

Structure (extended XYZ):
```
5
Lattice="-8.137 -3.301 -5.686 -7.745 -6.383 -2.949 -9.845 -2.964 -1.930" Properties=species:S:1:pos:R:3 pbc="T T T"
Pm -15.759 -7.748 -6.472
Cl -5.811 -2.857 -2.386
Pm -9.968 -4.901 -4.093
Cl -19.916 -9.792 -8.179
As 0.000 0.000 0.000
```

## Properties
DFT total energy = -0.4023 Ry/atom
Density = 4.79 Mg/m³

This record from the Open Quantum Materials Database describes a geometry-optimized DyTmFeCo2 structure. The functional is PBE-GGA.

Structure (extended XYZ):
```
5
Lattice="-1.950 2.609 4.222 1.950 -2.609 4.222 1.950 2.609 -4.222" Properties=species:S:1:pos:R:3 pbc="T T T"
Fe 0.000 0.000 0.000
Tm 1.950 0.000 2.532
Co 0.000 1.242 4.222
Dy 0.000 2.609 1.691
Co 1.950 1.367 0.000
```

## Properties
DFT total energy = -0.4794 Ry/atom
Energy relative to the elements = -203.5 meV per atom
Density = 9.76 Mg/m³

This record from the Open Quantum Materials Database describes a geometry-optimized CsPmSn structure. The functional is PBE-GGA.

Structure (extended XYZ):
```
3
Lattice="1.088 -0.673 5.382 0.029 4.376 3.384 -4.030 0.634 3.736" Properties=species:S:1:pos:R:3 pbc="T T T"
Pm 0.000 0.000 0.000
Sn -2.185 3.253 9.377
Cs -0.728 1.084 3.126
```

## Properties
Distance to the lowest polymorph of the same formula = 0.000 kcal/mol of atoms
DFT total energy = -0.2250 Ry/atom
Density = 5.50 Mg/m³